The following is a DFT calculation (GGA-PBE) of an optimized crystal structure of HfBeInCu.

Summary:
As for the space-group type: F-43m, No. 216. The excess energy over the best structure of this formula in the dataset is 0.000 eV/atom. Its volume is 63.1 Å³/cell.

abc: 4.468 4.468 4.468
angles: 60.00 60.00 60.00
Fractional coordinates of all 4 atoms:
In  0.000  0.000  0.000
Be  0.250  0.250  0.250
Cu  0.750  0.750  0.750
Hf  0.500  0.500  0.500



The following is a DFT calculation (GGA-PBE) of an optimized crystal structure of HoB4W.

Summary:
As for the space-group type: Pbam, No. 55. The excess energy over the best structure of this formula in the dataset is 0.000 eV/atom. Its volume is 253.1 Å³/cell.

abc: 6.019 11.632 3.615
angles: 90.00 90.00 90.00
Fractional coordinates of all 24 atoms:
B  0.886  0.452  0.500
B  0.976  0.306  0.500
B  0.524  0.806  0.500
B  0.476  0.194  0.500
B  0.024  0.694  0.500
B  0.114  0.548  0.500
B  0.133  0.968  0.500
B  0.287  0.313  0.500
B  0.787  0.187  0.500
B  0.367  0.468  0.500
B  0.213  0.813  0.500
B  0.713  0.687  0.500
B  0.614  0.952  0.500
B  0.386  0.048  0.500
B  0.633  0.532  0.500
B  0.867  0.032  0.500
W  0.131  0.415  0.000
W  0.631  0.085  0.000
W  0.869  0.585  0.000
W  0.369  0.915  0.000
Ho  0.873  0.851  0.000
Ho  0.627  0.351  0.000
Ho  0.373  0.649  0.000
Ho  0.127  0.149  0.000